Computed, not measured: CdFeRh after structural relaxation at the GGA-PBE level of DFT.

abc: 5.509 5.509 3.041
angles: 73.97 73.98 32.05
Each line ends with the local moment (μB).
Positions (direct):
1 Fe 0.316 0.316 0.684  2.88
2 Rh 0.686 0.686 0.314  0.66
3 Cd 0.998 0.998 0.002  -0.04

Properties
Its polymorph energy (0 for the lowest one) is 91 meV/atom. The energy comes out at -16.6 eV for the cell shown. Its space group is No. 107. The density of states at the Fermi level is 3.095 states/eV/cell. The energy of formation is 0.04 eV per atom.


Computed, not measured: CdFeRh2 after structural relaxation at the GGA-PBE level of DFT.

abc: 4.715 4.715 4.888
angles: 78.53 78.53 34.68
Each line ends with the local moment (μB).
Positions (direct):
1 Fe 0.250 0.250 0.250  2.98
2 Cd 0.750 0.750 0.750  -0.03
3 Rh 0.510 0.510 0.480  0.45
4 Rh 0.990 0.990 0.020  0.45

Properties
The energy comes out at -23.9 eV for the cell shown. Its space group is No. 12. The density of states at the Fermi level is 3.624 states/eV/cell. The energy of formation is 0.05 eV per atom.


Computed, not measured: CdFe2Rh after structural relaxation at the GGA-PBE level of DFT.

abc: 2.715 2.715 8.545
angles: 90.00 90.00 110.14
Each line ends with the local moment (μB).
Positions (direct):
1 Fe 0.000 0.000 0.026  2.72
2 Rh 0.000 0.000 0.476  0.73
3 Cd 0.500 0.500 0.755  -0.03
4 Fe 0.500 0.500 0.243  2.87

Properties
The energy comes out at -24.5 eV for the cell shown. Its space group is No. 35. The density of states at the Fermi level is 3.678 states/eV/cell. The energy of formation is 0.18 eV per atom.